(P)
Al3BRu PBE relaxed; density = 3.15 Mg/m³; calculated volume = 20.3 A^3/atom
1.0
4.666 0.000 0.000
0.000 4.666 0.000
0.000 0.000 4.666
B Al Ru
1 3 1
Direct
0.500 0.500 0.500
0.000 0.000 0.500
0.000 0.500 0.000
0.500 0.000 0.000
0.000 0.000 0.000

---

(Q)
Al3BRu PBE relaxed; density = 4.67 Mg/m³; calculated volume = 13.7 A^3/atom
1.0
-2.208 2.946 1.789
-3.326 -2.378 -0.190
0.903 -1.557 3.677
Al B Ru
3 1 1
Direct
0.000 0.000 0.500
0.000 0.500 0.000
0.500 0.000 0.000
0.000 0.000 0.000
0.500 0.500 0.500

---

It is (Q) that is the most stable of them.